Record 1
VASP calculation (PBE) on an optimized crystal structure of SmIn2Ag.

Formation energy   -1.016 eV/f.u.
DOS at the Fermi energy   3.06 states/eV/cell

```
data_SmIn2Ag
_chemical_formula_sum 'Sm1 In2 Ag1'
_cell_length_a 3.588
_cell_length_b 3.588
_cell_length_c 7.527
_cell_angle_alpha 90.00
_cell_angle_beta 90.00
_cell_angle_gamma 90.00
_space_group_name_H-M_alt 'P 4/m m m'
_space_group_IT_number 123
_space_group_name_Hall '-P 4 2'
loop_
_atom_site_label
_atom_site_type_symbol
_atom_site_fract_x
_atom_site_fract_y
_atom_site_fract_z
Sm1 Sm 0.000 0.000 0.000
In1 In 0.500 0.500 0.286
Ag1 Ag 0.000 0.000 0.500
```

***

Record 2
VASP calculation (PBE) on an optimized crystal structure of NbAlRu.

Formation energy   -1.125 eV/f.u.
DOS at the Fermi energy   6.55 states/eV/cell

```
data_NbAlRu
_chemical_formula_sum 'Nb4 Al4 Ru4'
_cell_length_a 9.544
_cell_length_b 4.376
_cell_length_c 5.405
_cell_angle_alpha 90.00
_cell_angle_beta 123.78
_cell_angle_gamma 90.00
_space_group_name_H-M_alt 'C 1 m 1'
_space_group_IT_number 8
loop_
_space_group_symop_operation_xyz
'x,y,z'
'x,-y,z'
'x+1/2,y+1/2,z'
'x+1/2,-y+1/2,z'
loop_
_atom_site_label
_atom_site_type_symbol
_atom_site_fract_x
_atom_site_fract_y
_atom_site_fract_z
Nb1 Nb 0.000 0.000 0.000
Nb2 Nb 0.161 0.500 0.499
Al1 Al 0.198 0.500 0.036
Al2 Al 0.353 0.000 0.526
Ru1 Ru 0.003 0.000 0.508
Ru2 Ru 0.344 0.000 0.019
```

***

Record 3
VASP calculation (PBE) on an optimized crystal structure of KCaInRh2.

Formation energy   4.484 eV/f.u.
DOS at the Fermi energy   2.19 states/eV/cell

```
data_KCaInRh2
_chemical_formula_sum 'K1 Ca1 In1 Rh2'
_cell_length_a 4.969
_cell_length_b 4.969
_cell_length_c 5.302
_cell_angle_alpha 90.00
_cell_angle_beta 90.00
_cell_angle_gamma 90.00
_space_group_name_H-M_alt 'P 4/m m m'
_space_group_IT_number 123
_space_group_name_Hall '-P 4 2'
loop_
_atom_site_label
_atom_site_type_symbol
_atom_site_fract_x
_atom_site_fract_y
_atom_site_fract_z
K1 K 0.000 0.000 0.000
Ca1 Ca 0.000 0.000 0.500
In1 In 0.500 0.500 0.000
Rh1 Rh 0.000 0.500 0.500
```

***

Record 4
VASP calculation (PBE) on an optimized crystal structure of Ba2CaI2.

DOS at the Fermi energy   11.91 states/eV/cell
Energy relative to the elements, uncorrected   -0.888 eV/atom
Offset from the most stable computed form   0 meV/atom

```
data_Ba2CaI2
_chemical_formula_sum 'Ba4 Ca2 I4'
_cell_length_a 9.960
_cell_length_b 9.960
_cell_length_c 4.318
_cell_angle_alpha 90.00
_cell_angle_beta 90.00
_cell_angle_gamma 90.00
_space_group_name_H-M_alt 'P 4/m b m'
_space_group_IT_number 127
_space_group_name_Hall '-P 4 2ab'
loop_
_atom_site_label
_atom_site_type_symbol
_atom_site_fract_x
_atom_site_fract_y
_atom_site_fract_z
Ba1 Ba 0.165 0.335 0.000
Ca1 Ca 0.000 0.000 0.500
I1 I 0.135 0.635 0.500
```

***

Record 5
VASP calculation (PBE) on an optimized crystal structure of AcPmPdAu.

Formation energy   -2.856 eV/f.u.
DOS at the Fermi energy   13.10 states/eV/cell
Offset from the most stable computed form   80 meV/atom

```
data_AcPmPdAu
_chemical_formula_sum 'Ac4 Pm4 Pd4 Au4'
_cell_length_a 7.524
_cell_length_b 7.524
_cell_length_c 7.524
_cell_angle_alpha 90.00
_cell_angle_beta 90.00
_cell_angle_gamma 90.00
_space_group_name_H-M_alt 'F -4 3 m'
_space_group_IT_number 216
_space_group_name_Hall 'F -4 2 3'
loop_
_atom_site_label
_atom_site_type_symbol
_atom_site_fract_x
_atom_site_fract_y
_atom_site_fract_z
Ac1 Ac 0.000 0.000 0.000
Pm1 Pm 0.000 0.000 0.500
Pd1 Pd 0.250 0.250 0.250
Au1 Au 0.250 0.250 0.750
```

***

Record 6
VASP calculation (PBE) on an optimized crystal structure of Pm2Pr5Y4.

Formation energy   0.178 eV/f.u.
DOS at the Fermi energy   34.06 states/eV/cell
Offset from the most stable computed form   0 meV/atom

```
data_Pm2Pr5Y4
_chemical_formula_sum 'Pm4 Pr10 Y8'
_cell_length_a 23.998
_cell_length_b 3.651
_cell_length_c 8.943
_cell_angle_alpha 90.00
_cell_angle_beta 104.34
_cell_angle_gamma 90.00
_space_group_name_H-M_alt 'C 1 2/m 1'
_space_group_IT_number 12
loop_
_space_group_symop_operation_xyz
'x,y,z'
'-x,-y,-z'
'-x,y,-z'
'x,-y,z'
'x+1/2,y+1/2,z'
'-x+1/2,-y+1/2,-z'
'-x+1/2,y+1/2,-z'
'x+1/2,-y+1/2,z'
loop_
_atom_site_label
_atom_site_type_symbol
_atom_site_fract_x
_atom_site_fract_y
_atom_site_fract_z
Pm1 Pm 0.090 0.000 0.223
Pr1 Pr 0.000 0.000 0.500
Pr2 Pr 0.136 0.500 0.592
Pr3 Pr 0.227 0.500 0.313
Y1 Y 0.046 0.500 0.866
Y2 Y 0.181 0.000 0.954
```

***

Record 7
VASP calculation (PBE) on an optimized crystal structure of ZrFe3N.

DOS at the Fermi energy   4.78 states/eV/cell
Energy relative to the elements, uncorrected   -0.211 eV/atom
Offset from the most stable computed form   0 meV/atom

```
data_ZrFe3N
_chemical_formula_sum 'Zr1 Fe3 N1'
_cell_length_a 3.849
_cell_length_b 3.849
_cell_length_c 3.849
_cell_angle_alpha 90.00
_cell_angle_beta 90.00
_cell_angle_gamma 90.00
_space_group_name_H-M_alt 'P m -3 m'
_space_group_IT_number 221
_space_group_name_Hall '-P 4 2 3'
loop_
_atom_site_label
_atom_site_type_symbol
_atom_site_fract_x
_atom_site_fract_y
_atom_site_fract_z
Zr1 Zr 0.000 0.000 0.000
Fe1 Fe 0.000 0.500 0.500
N1 N 0.500 0.500 0.500
```

***

Record 8
VASP calculation (PBE) on an optimized crystal structure of WSe2.

DOS at the Fermi energy   2.01 states/eV/cell
Energy relative to the elements, uncorrected   -0.179 eV/atom

```
data_WSe2
_chemical_formula_sum 'W2 Se4'
_cell_length_a 3.092
_cell_length_b 3.092
_cell_length_c 13.220
_cell_angle_alpha 90.00
_cell_angle_beta 90.00
_cell_angle_gamma 90.00
_space_group_name_H-M_alt 'I 4/m m m'
_space_group_IT_number 139
_space_group_name_Hall '-I 4 2'
loop_
_atom_site_label
_atom_site_type_symbol
_atom_site_fract_x
_atom_site_fract_y
_atom_site_fract_z
W1 W 0.000 0.000 0.000
Se1 Se 0.000 0.000 0.382
```

***

Number 1: calculated total energy -3.52 eV per atom. Number 2: calculated total energy -8.07 eV per atom. Number 3: calculated total energy -3.21 eV per atom. Number 4: calculated total energy -2.68 eV per atom. Number 5: calculated total energy -5.05 eV per atom. Number 6: calculated total energy -5.37 eV per atom. Number 7: calculated total energy -8.66 eV per atom. Number 8: calculated total energy -6.82 eV per atom.